CsSiS2N: relaxed, PBE.

- formation energy without anion corrections (eV per atom) = 0.15
- excess energy over the best structure of this formula in the dataset (eV/atom) = 0.000

POSCAR file:
```
CsSiS2N
1.0
5.700 0.000 0.000
0.000 5.700 0.000
0.000 0.000 3.258
Cs Si S N
1 1 2 1
Cartesian
0.000 0.000 0.000
2.850 2.850 1.629
0.000 2.850 1.629
2.850 0.000 1.629
2.850 2.850 0.000
```

---

CsSiS2N: relaxed, PBE.

- formation energy without anion corrections (eV per atom) = 2.14
- excess energy over the best structure of this formula in the dataset (eV/atom) = 1.997

POSCAR file:
```
CsSiS2N
1.0
5.542 0.000 0.000
0.000 5.542 0.000
0.000 0.000 4.314
Cs Si S N
1 1 2 1
Cartesian
0.000 0.000 0.000
2.771 2.771 2.157
0.000 2.771 0.000
2.771 0.000 0.000
0.000 0.000 2.157
```

---

CsSnSN2: relaxed, PBE.

- formation energy without anion corrections (eV per atom) = 2.05

POSCAR file:
```
CsSnSN2
1.0
4.402 0.000 0.000
0.000 4.402 0.000
0.000 0.000 6.747
Cs Sn S N
1 1 1 2
Cartesian
0.000 0.000 0.000
2.201 2.201 3.373
0.000 0.000 3.373
0.000 2.201 0.000
2.201 0.000 0.000
```

---

CsSrSN2: relaxed, PBE.

- formation energy without anion corrections (eV per atom) = 0.71
- excess energy over the best structure of this formula in the dataset (eV/atom) = 0.000

POSCAR file:
```
CsSrSN2
1.0
5.215 0.000 0.000
0.000 5.215 0.000
0.000 0.000 5.822
Cs Sr S N
1 1 1 2
Cartesian
0.000 0.000 0.000
2.608 2.608 2.911
2.608 2.608 0.000
0.000 2.608 2.911
2.608 0.000 2.911
```

---

CsSrSN2: relaxed, PBE.

- formation energy without anion corrections (eV per atom) = 1.28
- excess energy over the best structure of this formula in the dataset (eV/atom) = 0.565

POSCAR file:
```
CsSrSN2
1.0
4.486 0.000 0.000
0.000 4.486 0.000
0.000 0.000 6.555
Cs Sr S N
1 1 1 2
Cartesian
0.000 0.000 0.000
2.243 2.243 3.277
0.000 0.000 3.277
0.000 2.243 0.000
2.243 0.000 0.000
```

---

CsTaSN2: relaxed, PBE.

- formation energy without anion corrections (eV per atom) = 2.76

POSCAR file:
```
CsTaSN2
1.0
4.134 0.000 0.000
0.000 4.134 0.000
0.000 0.000 6.059
Cs Ta S N
1 1 1 2
Cartesian
0.000 0.000 0.000
2.067 2.067 3.030
0.000 0.000 3.030
0.000 2.067 0.000
2.067 0.000 0.000
```

---

CsTcS2N: relaxed, PBE.

- formation energy without anion corrections (eV per atom) = 2.41
- excess energy over the best structure of this formula in the dataset (eV/atom) = 2.395

POSCAR file:
```
CsTcS2N
1.0
5.580 0.000 0.000
0.000 5.580 0.000
0.000 0.000 4.399
Cs Tc S N
1 1 2 1
Cartesian
0.000 0.000 0.000
2.790 2.790 2.200
0.000 2.790 0.000
2.790 0.000 0.000
0.000 0.000 2.200
```

---

CsTcS2N: relaxed, PBE.

- formation energy without anion corrections (eV per atom) = 0.01
- excess energy over the best structure of this formula in the dataset (eV/atom) = 0.000

POSCAR file:
```
CsTcS2N
1.0
5.046 0.000 0.000
0.000 5.046 0.000
0.000 0.000 3.861
Cs Tc S N
1 1 2 1
Cartesian
0.000 0.000 0.000
2.523 2.523 1.931
0.000 2.523 1.931
2.523 0.000 1.931
2.523 2.523 0.000
```